Density functional theory data (GGA+U) for crystalline BaLaFe2O at its relaxed geometry.

```
BaLaFe2O
1.0
4.5129 0.0000 0.0000
0.0000 4.5129 0.0000
0.0000 0.0000 8.5032
Ba La Fe O
1 1 2 1
direct
0.0000 0.0000 0.0000
0.0000 0.0000 0.5000
0.0000 0.5000 0.5000
0.5000 0.0000 0.5000
0.5000 0.5000 0.0000
```

Computed properties:
E_tot   -3.250 eV per atom
DOS(E_F)   0.399 states/eV per atom
Mass density   3.9 Mg/m³